(1)
VASP calculation (PBE-GGA) on crystalline Ce2InSb4 at its relaxed geometry.

The structure in extended XYZ format:
```
7
Lattice="4.4008 0.0000 0.0000 0.0000 4.4008 0.0000 0.0000 0.0000 10.7689" Properties=species:S:1:pos:R:3 pbc="T T T"
Ce 0.0000 2.2004 2.4572
Ce 2.2004 0.0000 8.3117
In 0.0000 0.0000 5.3844
Sb 0.0000 0.0000 0.0000
Sb 0.0000 2.2004 7.3874
Sb 2.2004 0.0000 3.3815
Sb 2.2004 2.2004 0.0000
```

E_form (uncorrected) in eV/f.u.: -4.42

***

(2)
VASP calculation (PBE-GGA) on crystalline SiRhN2 at its relaxed geometry.

The structure in extended XYZ format:
```
8
Lattice="-2.2718 2.2718 4.1714 2.2718 -2.2718 4.1714 2.2718 2.2718 -4.1714" Properties=species:S:1:pos:R:3 pbc="T T T"
Si 0.0000 0.0000 0.0000
Si 0.0000 2.2718 2.0857
Rh 2.2718 0.0000 2.0857
Rh 0.0000 0.0000 4.1714
N 3.4077 0.8227 -1.0428
N 0.8227 1.1359 1.0428
N -1.1359 1.4491 3.1285
N 1.4491 1.1359 5.2142
```

E_form (uncorrected) in eV/f.u.: -0.91

***

(3)
VASP calculation (PBE-GGA) on crystalline ZnInTcPb2 at its relaxed geometry.

The structure in extended XYZ format:
```
5
Lattice="5.7239 0.0000 0.0000 0.0000 5.7239 0.0000 0.0000 0.0000 5.2431" Properties=species:S:1:pos:R:3 pbc="T T T"
Zn 0.0000 0.0000 0.0000
In 2.8619 2.8619 2.6216
Tc 2.8619 2.8619 0.0000
Pb 0.0000 2.8619 2.6216
Pb 2.8619 0.0000 2.6216
```

***

(4)
VASP calculation (PBE-GGA) on crystalline Pm2FeC4 at its relaxed geometry.

The structure in extended XYZ format:
```
14
Lattice="-3.7623 5.0437 2.5867 3.7623 -5.0437 2.5867 3.7623 5.0437 -2.5867" Properties=species:S:1:pos:R:3 pbc="T T T"
Pm 1.2148 1.4494 0.0000
Pm 1.2148 -1.4494 2.5867
Pm 2.5475 6.4931 0.0000
Pm 2.5475 3.5943 2.5867
Fe 3.7623 0.0000 1.2934
Fe 0.0000 5.0437 1.2934
C 4.9712 0.7862 0.0000
C 6.2566 1.2654 0.0000
C 2.4943 3.7783 0.0000
C 1.2089 4.2575 0.0000
C 2.5534 0.7862 2.5867
C 1.2680 1.2654 2.5867
C -2.4943 3.7783 2.5867
C -1.2089 4.2575 2.5867
```

***

Q: Which total moment values were calculated for the entries above? A: 1.81 0.00 3.19 0.00, in μB/cell.
Q: Which total energy values were calculated for the entries above? A: -5.07 -7.58 -3.12 -8.04, in eV per atom.